1.
# HfScCoGe2 | Alexandria via LeMat-Bulk | GGA-PBEsol | optimized geometry
# crystal system: tetragonal
# magnetic moment: 0.626 μB per formula unit
# formation energy from the elements: 540.3 meV per atom
data_HfScCoGe2
_chemical_formula_sum 'Hf1 Sc1 Co1 Ge2'
_symmetry_space_group_name_H-M 'P 4/m m m'
_symmetry_Int_Tables_number 123
_symmetry_space_group_name_Hall '-P 4 2'
_cell_length_a 4.972
_cell_length_b 4.972
_cell_length_c 4.397
_cell_angle_alpha 90.00
_cell_angle_beta 90.00
_cell_angle_gamma 90.00
loop_
_atom_site_label
_atom_site_type_symbol
_atom_site_fract_x
_atom_site_fract_y
_atom_site_fract_z
Hf1 Hf 0.000 0.000 0.000
Sc1 Sc 0.500 0.500 0.500
Co1 Co 0.000 0.000 0.500
Ge1 Ge 0.000 0.500 0.000

2.
# HoCo2Ge2 | Alexandria via LeMat-Bulk | GGA-PBEsol | optimized geometry
# crystal system: tetragonal
# magnetic moment: 0.001 μB per formula unit
# formation energy from the elements: -673.6 meV per atom
data_HoCo2Ge2
_chemical_formula_sum 'Ho2 Co4 Ge4'
_symmetry_space_group_name_H-M 'I 4/m m m'
_symmetry_Int_Tables_number 139
_symmetry_space_group_name_Hall '-I 4 2'
_cell_length_a 3.888
_cell_length_b 3.888
_cell_length_c 9.964
_cell_angle_alpha 90.00
_cell_angle_beta 90.00
_cell_angle_gamma 90.00
loop_
_atom_site_label
_atom_site_type_symbol
_atom_site_fract_x
_atom_site_fract_y
_atom_site_fract_z
Ho1 Ho 0.000 0.000 0.000
Co1 Co 0.000 0.500 0.250
Ge1 Ge 0.000 0.000 0.373

3.
# HoCoGe2 | Alexandria via LeMat-Bulk | GGA-PBEsol | optimized geometry
# crystal system: orthorhombic
# magnetic moment: 0.000 μB per formula unit
# formation energy from the elements: -697.9 meV per atom
data_HoCoGe2
_chemical_formula_sum 'Ho4 Co4 Ge8'
_symmetry_space_group_name_H-M 'C m c m'
_symmetry_Int_Tables_number 63
_symmetry_space_group_name_Hall '-C 2c 2'
_cell_length_a 4.054
_cell_length_b 16.418
_cell_length_c 4.071
_cell_angle_alpha 90.00
_cell_angle_beta 90.00
_cell_angle_gamma 90.00
loop_
_atom_site_label
_atom_site_type_symbol
_atom_site_fract_x
_atom_site_fract_y
_atom_site_fract_z
Ho1 Ho 0.000 0.110 0.250
Co1 Co 0.000 0.320 0.250
Ge1 Ge 0.000 0.250 0.750
Ge2 Ge 0.000 0.456 0.250

4.
# CoGeI2 | Alexandria via LeMat-Bulk | GGA-PBEsol | optimized geometry
# crystal system: cubic
# E: -53.880 eV per cell
# magnetic moment: 1.554 μB per formula unit
data_CoGeI2
_chemical_formula_sum 'Co4 Ge4 I8'
_symmetry_space_group_name_H-M 'F m -3 m'
_symmetry_Int_Tables_number 225
_symmetry_space_group_name_Hall '-F 4 2 3'
_cell_length_a 7.085
_cell_length_b 7.085
_cell_length_c 7.085
_cell_angle_alpha 90.00
_cell_angle_beta 90.00
_cell_angle_gamma 90.00
loop_
_atom_site_label
_atom_site_type_symbol
_atom_site_fract_x
_atom_site_fract_y
_atom_site_fract_z
Co1 Co 0.000 0.000 0.000
Ge1 Ge 0.000 0.000 0.500
I1 I 0.250 0.250 0.250

What is the magnetic moment in the second record? 0.001 μB per formula unit

Which formula does entry 2 have? HoCo2Ge2

What is the magnetic moment in the first record? 0.626 μB per formula unit

Among the records above, which one has the lowest magnetic moment? HoCoGe2